Entry 1:
This record from Alexandria via LeMat-Bulk describes CoOs2Au after structural relaxation. The functional is PBE.

Cell: 2.7185 2.7185 27.0605 Å, 90.00 90.00 120.00°
With the nearest neighbours (Å) after each atom.
Space group R-3m (No. 166, hexagonal axes)
Asymmetric unit:
Co 0.0000 0.0000 0.0000  6 Os 2.56, 6 Co 2.72
Os 0.0000 0.0000 0.2586  3 Co 2.56, 6 Os 2.72
Au 0.0000 0.0000 0.5000  6 Au 2.72, 6 Os 2.94

Computed properties:
V = 14.4 A^3/atom
Energy relative to the lowest polymorph listed for this composition = 0.0775 eV per atom
Size of the total moment = 1.231 μB/f.u.
ΔE_f = 1.553 eV per formula unit
Final energy = -7.823 eV/atom


Entry 2:
This record from Alexandria via LeMat-Bulk describes Co2OsAu after structural relaxation. The functional is PBE.

Cell: 3.9343 3.9343 3.5323 Å, 90.00 90.00 90.00°
With the nearest neighbours (Å) after each atom.
Space group P4/mmm (No. 123)
Asymmetric unit:
Co 0.0000 0.5000 0.0000  4 Os 2.64, 4 Au 2.64, 4 Co 2.78
Os 0.0000 0.0000 0.5000  8 Co 2.64, 4 Au 2.78
Au 0.5000 0.5000 0.5000  8 Co 2.64, 4 Os 2.78

Computed properties:
V = 13.7 A^3/atom
Energy relative to the lowest polymorph listed for this composition = 0.2165 eV per atom
Size of the total moment = 4.883 μB/f.u.
ΔE_f = 1.716 eV per formula unit
Final energy = -6.751 eV/atom


Entry 3:
This record from Alexandria via LeMat-Bulk describes CoOs2Au after structural relaxation. The functional is PBE.

Cell: 2.7655 3.7868 5.5457 Å, 90.00 90.00 90.00°
With the nearest neighbours (Å) after each atom.
Space group Pmm2 (No. 25)
Asymmetric unit:
Co 0.0000 0.0000 0.0000  5 Os 2.50-2.70, 4 Au 2.73, 2 Co 2.77
Os 0.0000 0.0000 0.4513  1 Co 2.50, 6 Os 2.62-2.77
Os 0.5000 0.5000 0.2415  6 Os 2.62-2.77, 4 Co 2.70, 2 Au 2.74-2.81
Au 0.5000 0.5000 0.7482  4 Co 2.73, 6 Os 2.74-2.86, 2 Au 2.77

Computed properties:
V = 14.5 A^3/atom
Energy relative to the lowest polymorph listed for this composition = 0.0349 eV per atom
Size of the total moment = 1.599 μB/f.u.
ΔE_f = 1.382 eV per formula unit
Final energy = -7.865 eV/atom


Entry 4:
This record from Alexandria via LeMat-Bulk describes CoOs2Au after structural relaxation. The functional is PBE.

Cell: 6.1446 6.1446 6.1446 Å, 90.00 90.00 90.00°
With the nearest neighbours (Å) after each atom.
Space group Fm-3m (No. 225)
Asymmetric unit:
Co 0.0000 0.0000 0.0000  8 Os 2.66
Os 0.2500 0.2500 0.2500  4 Co 2.66, 4 Au 2.66
Au 0.0000 0.0000 0.5000  8 Os 2.66

Computed properties:
V = 14.5 A^3/atom
Energy relative to the lowest polymorph listed for this composition = 0.5282 eV per atom
Size of the total moment = 1.676 μB/f.u.
ΔE_f = 3.355 eV per formula unit
Final energy = -7.372 eV/atom


Entry 5:
This record from Alexandria via LeMat-Bulk describes CoOs2Au after structural relaxation. The functional is PBE.

Cell: 2.6899 3.6903 5.8519 Å, 90.00 90.00 90.00°
With the nearest neighbours (Å) after each atom.
Space group Pmmm (No. 47)
Asymmetric unit:
Co 0.0000 0.0000 0.0000  8 Os 2.59, 2 Co 2.69
Os 0.5000 0.5000 0.2102  3 Os 2.46-2.69, 4 Co 2.59
Au 0.0000 0.0000 0.5000  2 Au 2.69, 8 Os 2.84, 2 Co 2.93

Computed properties:
V = 14.5 A^3/atom
Energy relative to the lowest polymorph listed for this composition = 0.2244 eV per atom
Size of the total moment = 0.750 μB/f.u.
ΔE_f = 2.140 eV per formula unit
Final energy = -7.676 eV/atom


Entry 6:
This record from Alexandria via LeMat-Bulk describes Co2OsAu after structural relaxation. The functional is PBE.

Cell: 2.6983 2.6983 7.4650 Å, 90.00 90.00 90.00°
With the nearest neighbours (Å) after each atom.
Space group P4mm (No. 99)
Asymmetric unit:
Co 0.0000 0.0000 0.0000  8 Co 2.48-2.70, 4 Au 2.76
Co 0.5000 0.5000 0.2132  8 Co 2.48-2.70, 4 Os 2.53
Os 0.0000 0.0000 0.4355  4 Co 2.53, 4 Os 2.70
Au 0.5000 0.5000 0.7332  4 Au 2.70, 4 Co 2.76, 4 Os 2.93

Computed properties:
V = 13.6 A^3/atom
Energy relative to the lowest polymorph listed for this composition = 0.1421 eV per atom
Size of the total moment = 2.658 μB/f.u.
ΔE_f = 1.418 eV per formula unit
Final energy = -6.825 eV/atom


Entry 7:
This record from Alexandria via LeMat-Bulk describes CoOs2Au after structural relaxation. The functional is PBE.

Cell: 3.7826 3.7826 7.9782 Å, 90.00 90.00 90.00°
With the nearest neighbours (Å) after each atom.
Space group I4/mmm (No. 139)
Asymmetric unit:
Co 0.0000 0.0000 0.0000  4 Au 2.67, 8 Os 2.75
Os 0.0000 0.5000 0.2500  4 Os 2.67, 4 Co 2.75, 4 Au 2.75
Au 0.0000 0.0000 0.5000  4 Co 2.67, 8 Os 2.75

Computed properties:
V = 14.3 A^3/atom
Energy relative to the lowest polymorph listed for this composition = 0.2814 eV per atom
Size of the total moment = 0.922 μB/f.u.
ΔE_f = 2.368 eV per formula unit
Final energy = -7.619 eV/atom


Entry 8:
This record from Alexandria via LeMat-Bulk describes CoOs2Au after structural relaxation. The functional is PBE.

Cell: 9.2916 2.7326 4.6520 Å, 90.00 102.46 90.00°
With the nearest neighbours (Å) after each atom.
Space group C2/m (No. 12)
Asymmetric unit:
Co 0.0000 0.0000 0.0000  4 Os 2.57, 4 Au 2.70, 2 Co 2.73
Os 0.2313 0.5000 0.2279  2 Co 2.57, 6 Os 2.61-2.83, 1 Au 2.72
Au 0.0000 0.5000 0.5000  4 Co 2.70, 6 Os 2.72-2.89, 2 Au 2.73

Computed properties:
V = 14.4 A^3/atom
Energy relative to the lowest polymorph listed for this composition = 0.1327 eV per atom
Size of the total moment = 1.606 μB/f.u.
ΔE_f = 1.773 eV per formula unit
Final energy = -7.767 eV/atom


Entry 9:
This record from Alexandria via LeMat-Bulk describes Co2OsAu after structural relaxation. The functional is PBE.

Cell: 3.0729 3.0729 5.7860 Å, 90.00 90.00 90.00°
With the nearest neighbours (Å) after each atom.
Space group P4/mmm (No. 123)
Asymmetric unit:
Co 0.0000 0.0000 0.2183  4 Os 2.51, 1 Co 2.53, 4 Au 2.72
Os 0.5000 0.5000 0.0000  8 Co 2.51
Au 0.5000 0.5000 0.5000  8 Co 2.72, 2 Os 2.89

Computed properties:
V = 13.7 A^3/atom
Energy relative to the lowest polymorph listed for this composition = 0.1316 eV per atom
Size of the total moment = 3.189 μB/f.u.
ΔE_f = 1.376 eV per formula unit
Final energy = -6.836 eV/atom


Entry 10:
This record from Alexandria via LeMat-Bulk describes Co2OsAu after structural relaxation. The functional is PBE.

Cell: 2.7978 4.5424 8.8946 Å, 90.00 90.00 90.00°
With the nearest neighbours (Å) after each atom.
Space group Cmmm (No. 65)
Asymmetric unit:
Co 0.0000 0.0000 0.2359  2 Os 2.52, 6 Co 2.67-2.80, 2 Au 2.73
Os 0.0000 0.5000 0.0000  4 Co 2.52, 6 Os 2.67-2.80
Au 0.0000 0.5000 0.5000  6 Au 2.67-2.80, 4 Co 2.73

Computed properties:
V = 14.1 A^3/atom
Energy relative to the lowest polymorph listed for this composition = 0.2225 eV per atom
Size of the total moment = 3.749 μB/f.u.
ΔE_f = 1.739 eV per formula unit
Final energy = -6.745 eV/atom


Entry 11:
This record from Alexandria via LeMat-Bulk describes Co2OsAu after structural relaxation. The functional is PBE.

Cell: 6.0889 6.0889 6.0889 Å, 90.00 90.00 90.00°
With the nearest neighbours (Å) after each atom.
Space group F-43m (No. 216)
Asymmetric unit:
Co 0.0000 0.0000 0.0000  4 Co 2.64, 4 Au 2.64
Co 0.2500 0.2500 0.2500  4 Co 2.64, 4 Os 2.64
Os 0.0000 0.0000 0.5000  4 Co 2.64, 4 Au 2.64
Au 0.2500 0.2500 0.7500  4 Co 2.64, 4 Os 2.64

Computed properties:
V = 14.1 A^3/atom
Energy relative to the lowest polymorph listed for this composition = 0.4501 eV per atom
Size of the total moment = 4.864 μB/f.u.
ΔE_f = 2.650 eV per formula unit
Final energy = -6.517 eV/atom


Entry 12:
This record from Alexandria via LeMat-Bulk describes CoOsAu3 after structural relaxation. The functional is PBE.

Cell: 4.6558 4.6558 4.6558 Å, 90.00 90.00 90.00°
With the nearest neighbours (Å) after each atom.
Space group Pm-3m (No. 221)
Asymmetric unit:
Co 0.0000 0.0000 0.0000  6 Au 2.33
Os 0.5000 0.5000 0.5000  12 Au 3.29
Au 0.0000 0.0000 0.5000  2 Co 2.33

Computed properties:
V = 20.2 A^3/atom
Size of the total moment = 4.089 μB/f.u.
ΔE_f = 8.211 eV per formula unit
Final energy = -3.991 eV/atom